No. 1
Compound: MnNbPd2
Source: the Alexandria database
Functional: PBE-GGA
Structure: optimized geometry

Output
DFT formation energy = 0.7 eV per formula unit
VASP energy = -115.548 eV for the cell shown
Polymorph energy (0 for the lowest one) = 41.8 kJ per mole of atoms

Unit cell a=3.8181 b=3.8181 c=18.2355 alpha=90.00 beta=90.00 gamma=90.00
Space group I-42d (No. 122)
One atom of each set of equivalent atoms:
Mn 0.0000 0.0000 0.0000 x4
Nb 0.0000 0.0000 0.5000 x4
Pd 0.2412 0.2500 0.1250 x8

No. 2
Compound: RbU4Se8
Source: the Alexandria database
Functional: PBE-GGA
Structure: optimized geometry

Output
VASP energy = -354.081 eV for the cell shown
Polymorph energy (0 for the lowest one) = 8.3 kJ per mole of atoms
Uncorrected formation energy = -1.12 eV per atom

Unit cell a=12.2729 b=12.2729 c=12.2729 alpha=90.00 beta=90.00 gamma=90.00
Space group F-43m (No. 216)
One atom of each set of equivalent atoms:
Rb 0.0000 0.0000 0.0000 x4
U 0.1226 0.1226 0.6226 x16
Se 0.1108 0.1108 0.3892 x16
Se 0.1458 0.1458 0.8542 x16

No. 3
Compound: TePb2I2
Source: the Alexandria database
Functional: PBE-GGA
Structure: optimized geometry

Output
VASP energy = -49.158 eV for the cell shown
Polymorph energy (0 for the lowest one) = 0.0 kJ per mole of atoms
Uncorrected formation energy = -0.55 eV per atom

Unit cell a=4.6372 b=4.6372 c=33.9003 alpha=90.00 beta=90.00 gamma=120.00
Space group R-3m (No. 166, hexagonal axes)
One atom of each set of equivalent atoms:
Te 0.0000 0.0000 0.0000 x3
Pb 0.0000 0.0000 0.3895 x6
I 0.0000 0.0000 0.2217 x6

No. 4
Compound: GaCoGePt
Source: the Alexandria database
Functional: PBE-GGA
Structure: optimized geometry

Output
DFT formation energy = -1.1 eV per formula unit
VASP energy = -21.865 eV for the cell shown
Polymorph energy (0 for the lowest one) = 4.4 kJ per mole of atoms

Unit cell a=3.2043 b=4.1725 c=4.7036 alpha=104.59 beta=109.90 gamma=90.18
Space group P1 (No. 1)
One atom of each set of equivalent atoms:
Ga 0.0000 0.0000 0.0000 x1
Co 0.2670 0.9067 0.5371 x1
Ge 0.7613 0.3545 0.5196 x1
Pt 0.5040 0.5107 0.0071 x1

No. 5
Compound: SbPAu2F
Source: the Alexandria database
Functional: PBE-GGA
Structure: optimized geometry

Output
VASP energy = -19.302 eV for the cell shown
Uncorrected formation energy = -0.27 eV per atom

Unit cell a=4.9632 b=4.9632 c=3.8264 alpha=90.00 beta=90.00 gamma=90.00
Space group P4/mmm (No. 123)
One atom of each set of equivalent atoms:
Sb 0.0000 0.0000 0.0000 x1
P 0.5000 0.5000 0.5000 x1
Au 0.0000 0.5000 0.5000 x2
F 0.5000 0.5000 0.0000 x1

No. 6
Compound: CuRe2Pb
Source: the Alexandria database
Functional: PBE-GGA
Structure: optimized geometry

Output
DFT formation energy = 3.1 eV per formula unit
VASP energy = -29.597 eV for the cell shown
Polymorph energy (0 for the lowest one) = 28.4 kJ per mole of atoms

Unit cell a=3.3288 b=4.6916 c=4.8878 alpha=90.00 beta=95.20 gamma=90.00
Space group P2/m (No. 10)
One atom of each set of equivalent atoms:
Cu 0.0000 0.0000 0.0000 x1
Re 0.2873 0.5000 0.1762 x2
Pb 0.5000 0.0000 0.5000 x1

No. 7
Compound: La5PmPr5
Source: the Alexandria database
Functional: PBE-GGA
Structure: optimized geometry

Output
DFT formation energy = 1.3 eV per formula unit
VASP energy = -51.971 eV for the cell shown
Polymorph energy (0 for the lowest one) = 0.0 kJ per mole of atoms

Unit cell a=7.1585 b=7.1608 c=8.9072 alpha=75.25 beta=75.87 gamma=69.83
Space group P-1 (No. 2)
One atom of each set of equivalent atoms:
La 0.0000 0.0000 0.0000 x1
La 0.3222 0.8051 0.6381 x2
La 0.3621 0.2614 0.7378 x2
Pm 0.0000 0.5000 0.0000 x1
Pr 0.1434 0.6445 0.3579 x2
Pr 0.2200 0.1456 0.2755 x2
Pr 0.5000 0.5000 0.0000 x1

No. 8
Compound: CsTeF3
Source: the Alexandria database
Functional: PBE-GGA
Structure: optimized geometry

Output
VASP energy = -18.501 eV for the cell shown
Polymorph energy (0 for the lowest one) = 28.7 kJ per mole of atoms
Uncorrected formation energy = -1.78 eV per atom

Unit cell a=4.6768 b=4.6768 c=4.6768 alpha=90.00 beta=90.00 gamma=90.00
Space group Pm-3m (No. 221)
One atom of each set of equivalent atoms:
Cs 0.0000 0.0000 0.0000 x1
Te 0.5000 0.5000 0.5000 x1
F 0.0000 0.5000 0.5000 x3

Please write out number 6 again, unchanged.
Compound: CuRe2Pb
Source: the Alexandria database
Functional: PBE-GGA
Structure: optimized geometry

Output
DFT formation energy = 3.1 eV per formula unit
VASP energy = -29.597 eV for the cell shown
Polymorph energy (0 for the lowest one) = 28.4 kJ per mole of atoms

Unit cell a=3.3288 b=4.6916 c=4.8878 alpha=90.00 beta=95.20 gamma=90.00
Space group P2/m (No. 10)
One atom of each set of equivalent atoms:
Cu 0.0000 0.0000 0.0000 x1
Re 0.2873 0.5000 0.1762 x2
Pb 0.5000 0.0000 0.5000 x1

Among the records above, which one has the lowest VASP energy? RbU4Se8

Which formula does entry 3 have? TePb2I2

The lowest VASP energy belongs to which entry? RbU4Se8